Record 1
VASP calculation (PBE-GGA) on a relaxed Ba2PaBeS5 crystal.

total magnetization: 3.942 Bohr magnetons per cell
density of states at the Fermi level: 16.43 states/eV per cell
energy relative to the elements, uncorrected: -1.686 eV/atom
crystal system: orthorhombic

a b c (Å): 4.060 17.696 13.171
angles (deg): 90.00 90.00 90.00
Space group Cmc2_1 (No. 36)
One atom of each set of equivalent atoms:
1 Ba 0.000 0.120 0.000 [4 per cell]
2 Ba 0.000 0.120 0.355 [4 per cell]
3 Pa 0.000 0.189 0.687 [4 per cell]
4 Be 0.000 0.437 0.074 [4 per cell]
5 S 0.000 0.041 0.657 [4 per cell]
6 S 0.000 0.306 0.327 [4 per cell]
7 S 0.000 0.316 0.042 [4 per cell]
8 S 0.000 0.339 0.678 [4 per cell]
9 S 0.000 0.496 0.941 [4 per cell]

Record 2
VASP calculation (PBE-GGA) on a relaxed Ba2PaBeSe5 crystal.

total magnetization: 3.966 Bohr magnetons per cell
density of states at the Fermi level: 19.14 states/eV per cell
energy relative to the elements, uncorrected: -1.530 eV/atom
crystal system: orthorhombic

a b c (Å): 4.223 18.531 13.620
angles (deg): 90.00 90.00 90.00
Space group Cmc2_1 (No. 36)
One atom of each set of equivalent atoms:
1 Ba 0.000 0.118 0.000 [4 per cell]
2 Ba 0.000 0.121 0.356 [4 per cell]
3 Pa 0.000 0.191 0.687 [4 per cell]
4 Be 0.000 0.435 0.077 [4 per cell]
5 Se 0.000 0.041 0.663 [4 per cell]
6 Se 0.000 0.306 0.330 [4 per cell]
7 Se 0.000 0.313 0.039 [4 per cell]
8 Se 0.000 0.342 0.678 [4 per cell]
9 Se 0.000 0.495 0.939 [4 per cell]

Computed V (Å³ per cell) in order:
946; 1066